Entry from Alexandria via LeMat-Bulk: a relaxed structure of TlReAg2Cl8 (GGA-PBE).

Properties
crystal system = triclinic
raw formation energy = -0.61 eV/atom
space group = P-1, No. 2
density = 4.1 g cm⁻³
volume = 30.06 Å³/atom

```
TlReAg2Cl8
1.0
-0.077 5.181 3.613
-0.805 -4.934 4.997
7.750 -2.439 3.460
Cl Ag Re Tl
8 2 1 1
direct
0.450 0.272 0.429
0.550 0.728 0.571
0.339 0.206 0.981
0.661 0.794 0.019
0.918 0.237 0.746
0.082 0.763 0.254
0.139 0.816 0.866
0.861 0.184 0.134
0.490 0.673 0.306
0.510 0.327 0.694
0.000 0.000 0.000
0.000 0.000 0.500
```

=====

Entry from Alexandria via LeMat-Bulk: a relaxed structure of Re2AgWCl (GGA-PBE).

Properties
crystal system = tetragonal
raw formation energy = 1.90 eV/atom
space group = P4/mmm, No. 123
density = 10.4 g cm⁻³
volume = 22.37 Å³/atom

```
Re2AgWCl
1.0
4.866 0.000 0.000
0.000 4.724 0.000
0.000 0.000 4.866
Cl W Re Ag
1 1 2 1
direct
0.000 0.500 0.000
0.000 0.000 0.000
0.500 0.000 0.000
0.000 0.000 0.500
0.500 0.500 0.500
```

=====

Entry from Alexandria via LeMat-Bulk: a relaxed structure of Ag2RhCl (GGA-PBE).

Properties
crystal system = tetragonal
raw formation energy = 0.44 eV/atom
space group = I4/mmm, No. 139
density = 8.3 g cm⁻³
volume = 17.68 Å³/atom

```
Ag2RhCl
1.0
-4.890 -1.467 -1.728
-0.393 -4.344 -3.166
2.333 1.306 4.680
Ag Rh Cl
2 1 1
direct
0.000 0.000 0.000
0.500 0.500 0.000
0.750 0.250 0.500
0.250 0.750 0.500
```

=====

Entry from Alexandria via LeMat-Bulk: a relaxed structure of Ag4RhCl6 (GGA-PBE).

Properties
crystal system = monoclinic
raw formation energy = -0.31 eV/atom
space group = Cc, No. 9
density = 4.4 g cm⁻³
volume = 25.86 Å³/atom

```
Ag4RhCl6
1.0
1.105 7.136 1.451
-0.336 2.431 6.991
11.954 1.022 4.559
Cl Ag Rh
12 8 2
direct
0.504 0.602 0.483
0.711 0.782 0.203
0.454 0.148 0.441
0.016 0.143 0.266
0.304 0.282 0.703
0.575 0.643 0.766
0.927 0.018 0.648
0.407 0.518 0.148
0.957 0.648 0.941
0.889 0.143 0.957
0.011 0.643 0.457
0.411 0.102 0.983
0.747 0.135 0.173
0.319 0.728 0.303
0.098 0.455 0.135
0.944 0.635 0.673
0.650 0.228 0.803
0.550 0.712 0.959
0.779 0.212 0.459
0.312 0.955 0.635
0.687 0.820 0.386
0.107 0.320 0.886
```

=====

Entry from Alexandria via LeMat-Bulk: a relaxed structure of AgRhCl (GGA-PBE).

Properties
crystal system = cubic
raw formation energy = 0.76 eV/atom
space group = F-43m, No. 216
density = 6.9 g cm⁻³
volume = 19.76 Å³/atom

```
AgRhCl
1.0
-0.967 2.178 3.671
1.822 -1.192 3.796
3.009 2.560 1.883
Cl Rh Ag
1 1 1
direct
0.750 0.750 0.750
0.000 0.000 0.000
0.500 0.500 0.500
```

=====

Entry from Alexandria via LeMat-Bulk: a relaxed structure of AgRhCl2 (GGA-PBE).

Properties
crystal system = monoclinic
raw formation energy = 0.01 eV/atom
space group = Pm, No. 6
density = 6.0 g cm⁻³
volume = 19.57 Å³/atom

```
AgRhCl2
1.0
-2.350 -2.571 -3.269
2.095 -2.686 0.607
-0.969 -4.110 3.929
Rh Cl Ag
1 2 1
direct
0.000 0.486 0.385
0.000 0.117 0.890
0.500 0.379 0.370
0.500 0.518 0.855
```

=====

Number 1: raw total energy -0.2607 Ry/atom. Number 2: raw total energy -0.4860 Ry/atom. Number 3: raw total energy -0.2413 Ry/atom. Number 4: raw total energy -0.2218 Ry/atom. Number 5: raw total energy -0.2393 Ry/atom. Number 6: raw total energy -0.2547 Ry/atom.